This record from Alexandria describes crystalline V2RuO2 at its relaxed geometry. The functional is PBE+U.

Results
Energy above the lowest structure with this stoichiometry: 310 meV per atom
Crystal system: tetragonal
Theoretical density: 6.58 g/cm3
Calculated total energy: -71.438 eV/cell

```
data_V2RuO2
_chemical_formula_sum 'V4 Ru2 O4'
_space_group_name_H-M_alt 'P 4/m b m'
_space_group_IT_number 127
_space_group_name_Hall '-P 4 2ab'
_cell_length_a 6.304
_cell_length_b 6.304
_cell_length_c 2.986
_cell_angle_alpha 90.00
_cell_angle_beta 90.00
_cell_angle_gamma 90.00
loop_
_atom_site_label
_atom_site_fract_x
_atom_site_fract_y
_atom_site_fract_z
V1 0.184 0.316 0.000
Ru1 0.000 0.000 0.500
O1 0.153 0.653 0.500
```